Computed, not measured: a relaxed Pm2BeBiO6 crystal at the GGA-PBE level of DFT.

Calculated values
formation energy from raw total energies	-2.2999	eV/atom
space group	C2/m (12)

abc: 5.637 5.637 5.549
angles: 114.29 114.29 57.47
Fractional positions:
1 Pm 0.239 0.239 0.205
2 Pm 0.761 0.761 0.795
3 Be 0.500 0.500 0.000
4 Bi 0.000 0.000 0.500
5 O 0.201 0.659 0.149
6 O 0.251 0.251 0.633
7 O 0.341 0.799 0.851
8 O 0.659 0.201 0.149
9 O 0.749 0.749 0.367
10 O 0.799 0.341 0.851